[1]
VASP calculation (PBE) on crystalline Sr2MnS4 at its relaxed geometry.

Structure (CIF):
```
data_Sr2MnS4
_symmetry_space_group_name_H-M 'P 1'
_symmetry_Int_Tables_number 1
_symmetry_space_group_name_Hall 'P 1'
_cell_length_a 4.641
_cell_length_b 4.641
_cell_length_c 8.141
_cell_angle_alpha 73.44
_cell_angle_beta 73.44
_cell_angle_gamma 90.00
loop_
_atom_site_label
_atom_site_fract_x
_atom_site_fract_y
_atom_site_fract_z
Sr1 0.359 0.359 0.281
Sr2 0.641 0.641 0.719
S1 0.162 0.162 0.677
S2 0.838 0.838 0.323
S3 0.000 0.500 0.000
S4 0.500 0.000 0.000
Mn1 0.000 0.000 0.000
```

Properties
- Volume: 160 Å³/f.u.
- Total DFT energy (no corrections): -5.4734 eV/atom

[2]
VASP calculation (PBE) on crystalline FeP2Os at its relaxed geometry.

Structure (CIF):
```
data_FeP2Os
_symmetry_space_group_name_H-M 'P 1'
_symmetry_Int_Tables_number 1
_symmetry_space_group_name_Hall 'P 1'
_cell_length_a 7.324
_cell_length_b 7.324
_cell_length_c 7.324
_cell_angle_alpha 23.16
_cell_angle_beta 23.16
_cell_angle_gamma 23.16
loop_
_atom_site_label
_atom_site_fract_x
_atom_site_fract_y
_atom_site_fract_z
Fe1 0.511 0.511 0.511
Os1 0.743 0.743 0.743
P1 0.001 0.001 0.001
P2 0.245 0.245 0.245
```

Properties
- Volume: 53 Å³/f.u.
- Energy above the most stable polymorph in this dataset: 281.5 meV per atom
- Formation energy: 30 meV per atom
- Total DFT energy (no corrections): -7.5983 eV/atom

[3]
VASP calculation (PBE) on crystalline In2Ir at its relaxed geometry.

Structure (CIF):
```
data_In2Ir
_symmetry_space_group_name_H-M 'P 1'
_symmetry_Int_Tables_number 1
_symmetry_space_group_name_Hall 'P 1'
_cell_length_a 4.676
_cell_length_b 4.676
_cell_length_c 3.018
_cell_angle_alpha 90.00
_cell_angle_beta 90.00
_cell_angle_gamma 90.00
loop_
_atom_site_label
_atom_site_fract_x
_atom_site_fract_y
_atom_site_fract_z
Ir1 0.000 0.000 0.000
In1 0.000 0.500 0.500
In2 0.500 0.000 0.500
```

Properties
- Volume: 66 Å³/f.u.
- Formation energy: -105 meV per atom
- Total DFT energy (no corrections): -4.8847 eV/atom